Material: Eu2ZnIr
Method: DFT, PBE
State: optimized geometry

Cell: 5.085 5.081 5.081 Å, 60.00 60.02 60.02°
Site moments in Bohr magnetons follow the coordinates.
Sites, in units of the cell vectors:
Eu 0.499 0.500 0.500  -6.73
Eu 0.000 0.000 0.000  6.73
Zn 0.751 0.750 0.750  0.00
Ir 0.251 0.250 0.250  0.00

Computed properties:
- symmetry = R3m (160)
- total magnetization (μB per formula unit) = 0.00
- E_form (eV/atom) = -0.293
- energy (eV/atom) = -7.96

Material: EuZn4Ir
Method: DFT, PBE
State: optimized geometry

Cell: 5.186 5.186 5.186 Å, 60.00 60.00 60.00°
Site moments in Bohr magnetons follow the coordinates.
Sites, in units of the cell vectors:
Zn 0.626 0.626 0.121  -0.01
Zn 0.121 0.626 0.626  -0.01
Zn 0.626 0.121 0.626  -0.01
Zn 0.626 0.626 0.626  -0.01
Ir 0.000 0.000 0.000  -0.19
Eu 0.250 0.250 0.250  6.63

Computed properties:
- symmetry = F-43m (216)
- total magnetization (μB per formula unit) = 6.51
- E_form (eV/atom) = -0.216
- energy (eV/atom) = -4.25